Record 1
PmMg4Cu2 | Alexandria | PBE-GGA | optimized geometry; calculated density = 4203 kg/m3; density of states at the Fermi level = 4.19 states/eV/f.u.; space-group type = P4_2/mnm, No. 136; ΔE_f = -0.11 eV/atom; VASP energy = -2.873 eV/atom
1.0
8.3412 0.0000 0.0000
0.0000 8.3412 0.0000
0.0000 0.0000 4.1947
Pm Mg Cu
2 8 4
direct
0.0000 0.0000 0.0000
0.5000 0.5000 0.5000
0.0871 0.3330 0.5000
0.1670 0.5871 0.0000
0.3330 0.0871 0.5000
0.4129 0.8330 0.0000
0.5871 0.1670 0.0000
0.6670 0.9129 0.5000
0.8330 0.4129 0.0000
0.9129 0.6670 0.5000
0.2095 0.7905 0.5000
0.2905 0.2905 0.0000
0.7095 0.7095 0.0000
0.7905 0.2095 0.5000



Record 2
PrGa6Ni3 | Alexandria | PBE-GGA | optimized geometry; calculated density = 7267 kg/m3; density of states at the Fermi level = 3.80 states/eV/f.u.; space-group type = P2_1/m, No. 11; ΔE_f = -0.44 eV/atom; VASP energy = -4.464 eV/atom
1.0
9.0149 0.0000 0.0000
0.0000 4.0433 0.0000
-1.5245 0.0000 9.2197
Pr Ga Ni
2 12 6
direct
0.2227 0.2500 0.0855
0.7773 0.7500 0.9145
0.0853 0.7500 0.8257
0.0921 0.2500 0.4547
0.2479 0.2500 0.7211
0.3061 0.7500 0.3549
0.4454 0.7500 0.6548
0.4866 0.7500 0.1130
0.5134 0.2500 0.8870
0.5546 0.2500 0.3452
0.6939 0.2500 0.6451
0.7521 0.7500 0.2789
0.9079 0.7500 0.5453
0.9147 0.2500 0.1743
0.0284 0.7500 0.2979
0.3536 0.7500 0.8720
0.3756 0.2500 0.5001
0.6244 0.7500 0.4999
0.6464 0.2500 0.1280
0.9716 0.2500 0.7021



Record 3
ZrPaRu2 | Alexandria | PBE-GGA | optimized geometry; calculated density = 11528 kg/m3; density of states at the Fermi level = 4.21 states/eV/f.u.; space-group type = P4/mmm, No. 123; ΔE_f = -0.48 eV/atom; VASP energy = -9.624 eV/atom
1.0
4.6702 0.0000 0.0000
0.0000 4.6702 0.0000
0.0000 0.0000 3.4631
Zr Pa Ru
1 1 2
direct
0.0000 0.0000 0.0000
0.5000 0.5000 0.0000
0.0000 0.5000 0.5000
0.5000 0.0000 0.5000



Record 4
Pm5YSn5 | Alexandria | PBE-GGA | optimized geometry; calculated density = 6461 kg/m3; density of states at the Fermi level = 9.09 states/eV/f.u.; space-group type = C2/m, No. 12; ΔE_f = -0.49 eV/atom; VASP energy = -5.054 eV/atom
1.0
7.9477 -3.1491 0.0000
7.9477 3.1491 0.0000
-1.8377 0.0000 7.2260
Pm Y Sn
5 1 5
direct
0.0000 0.0000 0.0000
0.3300 0.3300 0.1764
0.3379 0.3379 0.6781
0.6621 0.6621 0.3219
0.6700 0.6700 0.8236
0.0000 0.0000 0.5000
0.1652 0.1652 0.8359
0.1657 0.1657 0.3480
0.5000 0.5000 0.5000
0.8343 0.8343 0.6520
0.8348 0.8348 0.1641



Record 5
Ag2TeCl5 | Alexandria | PBE-GGA | optimized geometry; calculated density = 3496 kg/m3; formation energy from raw total energies = -0.448 eV/atom; density of states at the Fermi level = 1.34 states/eV/f.u.; space-group type = Cmcm, No. 63; VASP energy = -2.708 eV/atom
1.0
3.0031 -6.5297 0.0000
3.0031 6.5297 0.0000
0.0000 0.0000 12.6113
Ag Te Cl
4 2 10
direct
0.1059 0.8941 0.6075
0.1059 0.8941 0.8925
0.8941 0.1059 0.1075
0.8941 0.1059 0.3925
0.2407 0.7593 0.2500
0.7593 0.2407 0.7500
0.0936 0.9064 0.1006
0.0936 0.9064 0.3994
0.2467 0.7533 0.7500
0.3731 0.6269 0.1083
0.3731 0.6269 0.3917
0.6269 0.3731 0.6083
0.6269 0.3731 0.8917
0.7533 0.2467 0.2500
0.9064 0.0936 0.6006
0.9064 0.0936 0.8994



Record 6
MgSb2Cl | Alexandria | PBE-GGA | optimized geometry; calculated density = 4834 kg/m3; formation energy from raw total energies = -0.396 eV/atom; density of states at the Fermi level = 1.81 states/eV/f.u.; space-group type = Immm, No. 71; VASP energy = -3.317 eV/atom
1.0
3.4848 0.0000 0.0000
0.0000 4.3876 0.0000
0.0000 0.0000 13.6276
Mg Sb Cl
2 4 2
direct
0.0000 0.0000 0.0000
0.5000 0.5000 0.5000
0.0000 0.5000 0.2988
0.0000 0.5000 0.7012
0.5000 0.0000 0.2012
0.5000 0.0000 0.7988
0.0000 0.0000 0.5000
0.5000 0.5000 0.0000



Record 7
AsPBr2 | Alexandria | PBE-GGA | optimized geometry; calculated density = 4716 kg/m3; formation energy from raw total energies = 0.704 eV/atom; density of states at the Fermi level = 2.28 states/eV/f.u.; space-group type = P2/m, No. 10; VASP energy = -2.647 eV/atom
1.0
5.3264 0.0000 0.0000
0.0000 3.2098 0.0000
-0.0528 0.0000 5.4726
As P Br
1 1 2
direct
0.0000 0.0000 0.0000
0.5000 0.5000 0.5000
0.0000 0.5000 0.5000
0.5000 0.0000 0.0000



Record 8
CaAcGd2 | Alexandria | PBE-GGA | optimized geometry; calculated density = 6481 kg/m3; density of states at the Fermi level = 8.46 states/eV/f.u.; space-group type = P4/mmm, No. 123; ΔE_f = 0.10 eV/atom; VASP energy = -8.469 eV/atom
1.0
5.2804 0.0000 0.0000
0.0000 5.2804 0.0000
0.0000 0.0000 5.3446
Ca Ac Gd
1 1 2
direct
0.0000 0.0000 0.0000
0.5000 0.5000 0.0000
0.0000 0.5000 0.5000
0.5000 0.0000 0.5000



Record 9
TbY2CdC | Alexandria | PBE-GGA | optimized geometry; calculated density = 6313 kg/m3; density of states at the Fermi level = 6.84 states/eV/f.u.; space-group type = P4/mmm, No. 123; ΔE_f = -0.32 eV/atom; VASP energy = -5.855 eV/atom
1.0
4.9313 0.0000 0.0000
0.0000 4.9313 0.0000
0.0000 0.0000 4.9880
Tb Y Cd C
1 2 1 1
direct
0.0000 0.0000 0.0000
0.0000 0.5000 0.5000
0.5000 0.0000 0.5000
0.5000 0.5000 0.0000
0.0000 0.0000 0.5000



Record 10
KVBr3 | Alexandria | PBE-GGA | optimized geometry; calculated density = 2714 kg/m3; formation energy from raw total energies = 0.148 eV/atom; density of states at the Fermi level = 13.53 states/eV/f.u.; space-group type = Pm-3m, No. 221; VASP energy = -2.899 eV/atom
1.0
5.8648 0.0000 0.0000
0.0000 5.8648 0.0000
0.0000 0.0000 5.8648
K V Br
1 1 3
direct
0.0000 0.0000 0.0000
0.5000 0.5000 0.5000
0.0000 0.0000 0.5000
0.0000 0.5000 0.0000
0.5000 0.0000 0.0000



Record 11
LiVIr2 | Alexandria | PBE-GGA | optimized geometry; calculated density = 14086 kg/m3; density of states at the Fermi level = 0.66 states/eV/f.u.; space-group type = Fm-3m, No. 225; ΔE_f = -0.48 eV/atom; VASP energy = -7.669 eV/atom
1.0
5.9305 0.0000 0.0000
0.0000 5.9305 0.0000
0.0000 0.0000 5.9305
Li V Ir
4 4 8
direct
0.0000 0.0000 0.0000
0.0000 0.5000 0.5000
0.5000 0.0000 0.5000
0.5000 0.5000 0.0000
0.0000 0.0000 0.5000
0.0000 0.5000 0.0000
0.5000 0.0000 0.0000
0.5000 0.5000 0.5000
0.2500 0.2500 0.2500
0.2500 0.2500 0.7500
0.2500 0.7500 0.2500
0.2500 0.7500 0.7500
0.7500 0.2500 0.2500
0.7500 0.2500 0.7500
0.7500 0.7500 0.2500
0.7500 0.7500 0.7500



Record 12
Pr5Hg2Rh | Alexandria | PBE-GGA | optimized geometry; calculated density = 8315 kg/m3; density of states at the Fermi level = 9.55 states/eV/f.u.; space-group type = Pbam, No. 55; ΔE_f = -0.43 eV/atom; VASP energy = -4.407 eV/atom
1.0
8.0603 0.0000 0.0000
0.0000 12.1480 0.0000
0.0000 0.0000 4.9300
Pr Hg Rh
10 4 2
direct
0.0000 0.0000 0.0000
0.1425 0.2955 0.0000
0.1814 0.5776 0.5000
0.3186 0.0776 0.5000
0.3575 0.7955 0.0000
0.5000 0.5000 0.0000
0.6425 0.2045 0.0000
0.6814 0.9224 0.5000
0.8186 0.4224 0.5000
0.8575 0.7045 0.0000
0.0746 0.8350 0.5000
0.4254 0.3350 0.5000
0.5746 0.6650 0.5000
0.9254 0.1650 0.5000
0.0000 0.5000 0.0000
0.5000 0.0000 0.0000



- Among the records above, which one has the lowest VASP energy?
  ZrPaRu2



What did the fourth record say?
Pm5YSn5 | Alexandria | PBE-GGA | optimized geometry; calculated density = 6461 kg/m3; density of states at the Fermi level = 9.09 states/eV/f.u.; space-group type = C2/m, No. 12; ΔE_f = -0.49 eV/atom; VASP energy = -5.054 eV/atom
1.0
7.9477 -3.1491 0.0000
7.9477 3.1491 0.0000
-1.8377 0.0000 7.2260
Pm Y Sn
5 1 5
direct
0.0000 0.0000 0.0000
0.3300 0.3300 0.1764
0.3379 0.3379 0.6781
0.6621 0.6621 0.3219
0.6700 0.6700 0.8236
0.0000 0.0000 0.5000
0.1652 0.1652 0.8359
0.1657 0.1657 0.3480
0.5000 0.5000 0.5000
0.8343 0.8343 0.6520
0.8348 0.8348 0.1641



Copy entry 9 word for word.
TbY2CdC | Alexandria | PBE-GGA | optimized geometry; calculated density = 6313 kg/m3; density of states at the Fermi level = 6.84 states/eV/f.u.; space-group type = P4/mmm, No. 123; ΔE_f = -0.32 eV/atom; VASP energy = -5.855 eV/atom
1.0
4.9313 0.0000 0.0000
0.0000 4.9313 0.0000
0.0000 0.0000 4.9880
Tb Y Cd C
1 2 1 1
direct
0.0000 0.0000 0.0000
0.0000 0.5000 0.5000
0.5000 0.0000 0.5000
0.5000 0.5000 0.0000
0.0000 0.0000 0.5000



Repeat the twelfth record exactly.
Pr5Hg2Rh | Alexandria | PBE-GGA | optimized geometry; calculated density = 8315 kg/m3; density of states at the Fermi level = 9.55 states/eV/f.u.; space-group type = Pbam, No. 55; ΔE_f = -0.43 eV/atom; VASP energy = -4.407 eV/atom
1.0
8.0603 0.0000 0.0000
0.0000 12.1480 0.0000
0.0000 0.0000 4.9300
Pr Hg Rh
10 4 2
direct
0.0000 0.0000 0.0000
0.1425 0.2955 0.0000
0.1814 0.5776 0.5000
0.3186 0.0776 0.5000
0.3575 0.7955 0.0000
0.5000 0.5000 0.0000
0.6425 0.2045 0.0000
0.6814 0.9224 0.5000
0.8186 0.4224 0.5000
0.8575 0.7045 0.0000
0.0746 0.8350 0.5000
0.4254 0.3350 0.5000
0.5746 0.6650 0.5000
0.9254 0.1650 0.5000
0.0000 0.5000 0.0000
0.5000 0.0000 0.0000